[1]
This record from the Alexandria database describes a relaxed structure of SmZn4Au12. The functional is PBE-GGA.

The structure in POSCAR format:
```
SmZn4Au12
1.0
-5.924 2.725 -4.158
-2.432 -5.864 4.416
2.795 5.631 4.504
Sm Zn Au
1 4 12
Cartesian
0.000 0.000 0.000
-1.216 -2.932 2.208
-2.962 1.363 -2.079
-2.780 1.246 2.381
1.398 2.816 2.252
-5.317 1.357 -1.152
-2.809 -1.112 1.463
-3.344 5.007 0.267
-0.126 4.591 3.217
-2.217 -2.515 4.495
-2.751 3.604 3.298
-2.361 2.382 0.158
-3.200 0.110 4.603
-5.435 -2.099 1.544
-5.203 1.284 1.650
-0.358 1.208 3.112
-0.244 1.135 5.914
```

## Properties
Formation energy: -0.01 eV per atom
Theoretical density: 12.95 g/cm3
DOS(E_F): 7.0 states/eV per cell
Total magnetic moment: 0.0000 μB/atom



[2]
This record from the Alexandria database describes a relaxed structure of PrCdPtO4. The functional is PBE-GGA.

The structure in POSCAR format:
```
PrCdPtO4
1.0
7.223 0.000 0.000
-3.611 5.382 -0.992
0.000 -3.786 6.227
Pr Cd Pt O
2 2 2 8
Cartesian
3.611 -1.893 3.113
3.611 0.000 0.000
3.611 3.871 0.222
0.000 -2.275 5.013
1.806 0.798 2.617
-1.806 0.798 2.617
3.611 0.394 3.906
-1.537 4.422 0.557
1.537 4.422 0.557
3.611 1.756 1.666
0.000 -0.160 3.569
5.148 -2.827 4.678
2.074 -2.827 4.678
0.000 1.202 1.329
```

## Properties
Raw formation energy: -10.26 eV per formula unit
Theoretical density: 7.92 g/cm3
DOS(E_F): 3.9 states/eV per cell
Total magnetic moment: 0.0000 μB/atom



[3]
This record from the Alexandria database describes a relaxed structure of Er3Ga2Si3. The functional is PBE-GGA.

The structure in POSCAR format:
```
Er3Ga2Si3
1.0
4.107 0.000 0.000
-2.053 5.364 0.000
0.000 0.000 14.267
Er Ga Si
6 4 6
Cartesian
2.053 4.727 5.492
0.000 0.637 12.625
2.053 4.727 1.641
0.000 0.637 8.775
2.053 1.632 3.567
0.000 3.732 10.700
2.053 2.942 12.768
0.000 2.421 5.635
2.053 2.942 8.632
0.000 2.421 1.498
2.053 1.177 6.611
0.000 4.186 13.744
2.053 1.177 0.522
0.000 4.186 7.656
0.000 4.015 3.567
2.053 1.349 10.700
```

## Properties
Raw formation energy: -4.86 eV per formula unit
Theoretical density: 7.67 g/cm3
DOS(E_F): 6.9 states/eV per cell
Total magnetic moment: 0.0000 μB/atom
Relative energy among the computed polymorphs: 0.000 eV/atom



[4]
This record from the Alexandria database describes a relaxed structure of SrCo4P. The functional is PBE-GGA.

The structure in POSCAR format:
```
SrCo4P
1.0
0.000 3.549 3.549
3.549 0.000 3.549
3.549 3.549 0.000
Sr Co P
1 4 1
Cartesian
0.000 0.000 0.000
2.671 4.427 4.427
4.427 4.427 2.671
4.427 2.671 4.427
2.671 2.671 2.671
5.323 5.323 5.323
```

## Properties
Formation energy: 0.35 eV per atom
Theoretical density: 6.58 g/cm3
DOS(E_F): 6.7 states/eV per cell
Total magnetic moment: 1.1692 μB/atom



[5]
This record from the Alexandria database describes a relaxed structure of CsBa2Na2. The functional is PBE-GGA.

The structure in POSCAR format:
```
CsBa2Na2
1.0
4.633 0.000 0.000
0.000 4.633 0.000
2.317 2.317 14.739
Cs Na Ba
1 2 2
Cartesian
0.000 0.000 0.000
4.633 2.317 7.369
2.317 4.633 7.369
2.317 2.317 3.937
4.633 4.633 10.802
```

## Properties
Formation energy: 0.16 eV per atom
Theoretical density: 2.38 g/cm3
DOS(E_F): 6.5 states/eV per cell
Total magnetic moment: 0.0000 μB/atom
Relative energy among the computed polymorphs: 0.083 eV/atom



[6]
This record from the Alexandria database describes a relaxed structure of TlV2Cl. The functional is PBE-GGA.

The structure in POSCAR format:
```
TlV2Cl
1.0
1.206 1.642 4.098
-2.721 2.975 2.164
-2.285 -1.296 3.747
Tl V Cl
1 2 1
Cartesian
-1.900 1.660 5.004
-0.950 0.830 2.502
-2.851 2.490 7.506
0.000 0.000 0.000
```

## Properties
Raw formation energy: 2.89 eV per formula unit
Theoretical density: 8.38 g/cm3
DOS(E_F): 1.8 states/eV per cell
Total magnetic moment: 0.0000 μB/atom
Relative energy among the computed polymorphs: 0.069 eV/atom



[7]
This record from the Alexandria database describes a relaxed structure of Er3SnPb. The functional is PBE-GGA.

The structure in POSCAR format:
```
Er3SnPb
1.0
4.709 0.000 0.000
0.000 7.054 0.497
0.000 -1.204 8.910
Er Sn Pb
6 2 2
Cartesian
3.532 3.022 3.040
1.177 2.828 6.367
3.532 0.965 8.449
1.177 -0.827 6.387
1.177 4.885 0.958
3.532 6.677 3.020
1.177 1.478 1.327
3.532 4.372 8.080
1.177 4.851 4.054
3.532 0.999 5.353
```

## Properties
Formation energy: -0.45 eV per atom
Theoretical density: 9.20 g/cm3
DOS(E_F): 6.6 states/eV per cell
Total magnetic moment: 0.0000 μB/atom



[8]
This record from the Alexandria database describes a relaxed structure of Ga2Pt9Au. The functional is PBE-GGA.

The structure in POSCAR format:
```
Ga2Pt9Au
1.0
3.967 0.000 0.000
0.000 3.967 0.000
0.000 0.000 11.937
Ga Pt Au
2 9 1
Cartesian
0.000 0.000 3.967
0.000 0.000 7.971
1.984 1.984 0.000
1.984 1.984 4.041
1.984 1.984 7.896
1.984 0.000 2.090
1.984 0.000 5.969
1.984 0.000 9.847
0.000 1.984 2.090
0.000 1.984 5.969
0.000 1.984 9.847
0.000 0.000 0.000
```

## Properties
Formation energy: -0.26 eV per atom
Theoretical density: 18.49 g/cm3
DOS(E_F): 15.3 states/eV per cell
Total magnetic moment: 0.0000 μB/atom



[9]
This record from the Alexandria database describes a relaxed structure of ZrSc2InS. The functional is PBE-GGA.

The structure in POSCAR format:
```
ZrSc2InS
1.0
-3.109 0.620 -3.585
-0.629 -4.737 -0.274
-3.656 0.299 3.223
Sc S Zr In
2 1 1 1
Cartesian
-0.315 -2.368 -0.137
-1.555 0.310 -1.793
0.000 0.000 0.000
-1.828 0.150 1.611
-3.697 -1.909 -0.318
```

## Properties
Raw formation energy: -3.88 eV per formula unit
Theoretical density: 4.87 g/cm3
DOS(E_F): 3.5 states/eV per cell
Total magnetic moment: 0.0000 μB/atom



[10]
This record from the Alexandria database describes a relaxed structure of CsIn2AgH. The functional is PBE-GGA.

The structure in POSCAR format:
```
CsIn2AgH
1.0
4.879 0.000 0.000
0.000 6.136 0.000
0.000 0.000 4.879
Cs H Ag In
1 1 1 2
Cartesian
2.440 3.068 2.440
0.000 0.000 0.000
0.000 3.068 0.000
0.000 0.000 2.440
2.440 0.000 0.000
```

## Properties
Energy: -2.112 eV per atom
Theoretical density: 5.36 g/cm3
DOS(E_F): 1.8 states/eV per cell
Total magnetic moment: 0.0000 μB/atom



[11]
This record from the Alexandria database describes a relaxed structure of Nb2CoAg2S6. The functional is PBE-GGA.

The structure in POSCAR format:
```
Nb2CoAg2S6
1.0
5.964 -0.168 0.755
-3.094 5.102 0.755
-0.222 -0.382 7.515
Nb Co Ag S
2 1 2 6
Cartesian
0.094 2.991 4.513
2.554 1.561 4.513
-0.111 -0.191 3.758
4.642 0.601 0.755
-1.772 4.333 0.755
1.643 2.824 6.342
4.623 0.916 5.993
1.005 1.728 2.684
-1.488 4.471 5.993
-1.974 3.636 3.033
4.136 0.081 3.033
```

## Properties
Raw formation energy: -5.95 eV per formula unit
Theoretical density: 4.75 g/cm3
DOS(E_F): 3.6 states/eV per cell
Total magnetic moment: 0.0947 μB/atom



[12]
This record from the Alexandria database describes a relaxed structure of Ho3Pb5S12. The functional is PBE-GGA.

The structure in POSCAR format:
```
Ho3Pb5S12
1.0
14.056 0.000 0.000
-4.685 13.252 0.000
-4.685 -6.626 11.476
Ho Pb S
12 20 48
Cartesian
8.199 4.141 1.435
8.199 9.111 1.435
-1.171 5.798 7.173
1.171 -0.828 4.304
10.542 0.000 2.869
1.171 6.626 2.869
3.514 0.000 8.607
-5.856 6.626 8.607
3.514 7.454 7.173
5.856 0.828 4.304
-3.514 -2.485 10.042
-3.514 2.485 10.042
-1.171 3.313 2.869
-2.343 6.626 0.000
0.000 0.000 0.000
3.514 2.485 1.435
4.685 -3.313 5.738
4.685 6.626 0.000
-3.514 7.454 4.304
5.856 -4.141 10.042
5.856 5.798 4.304
1.171 -3.313 8.607
3.514 9.939 2.869
2.343 3.313 5.738
7.028 0.000 0.000
-2.343 -3.313 5.738
-1.171 0.828 7.173
-1.171 10.767 1.435
-4.685 3.313 5.738
8.199 -0.828 7.173
1.171 4.141 10.042
5.856 3.313 8.607
9.309 1.524 0.675
0.062 4.660 4.756
10.298 2.924 3.098
6.100 2.092 1.657
1.666 5.227 7.703
9.683 6.625 1.965
-0.927 7.458 4.755
-3.758 11.160 1.657
0.676 8.025 7.703
6.715 6.626 1.965
7.089 3.490 4.081
7.089 11.728 0.675
-4.009 5.971 6.413
2.655 4.925 0.983
-4.747 9.762 4.081
2.404 -1.966 6.720
-0.676 0.744 2.640
2.655 8.328 0.982
6.100 10.328 3.098
-0.313 4.924 0.982
-3.019 7.370 8.836
3.270 5.794 4.755
6.352 7.280 6.413
4.998 -1.701 10.494
1.415 0.832 6.721
-1.666 -0.654 5.063
-0.313 8.327 0.983
-1.415 -3.702 8.378
7.704 -0.744 2.640
4.998 1.702 10.494
2.030 -1.702 10.494
2.281 8.592 4.756
5.361 5.881 8.836
9.432 -3.136 7.395
8.694 0.654 5.063
-2.404 -5.102 10.801
2.030 1.701 10.494
4.009 -1.399 3.773
-2.030 0.000 9.512
-2.404 3.136 7.395
8.443 -4.534 9.819
5.612 -0.832 6.721
-1.415 4.534 9.819
-4.998 0.000 9.512
3.019 1.399 3.773
-5.612 3.702 8.378
4.624 1.966 6.720
-4.624 5.102 10.801
```

## Properties
Raw formation energy: -15.48 eV per formula unit
Theoretical density: 5.95 g/cm3
DOS(E_F): 40.9 states/eV per cell
Total magnetic moment: 0.0000 μB/atom